CdFeHg2: optimized geometry, PBE.

Values from the calculation:
N(E_F) in states/eV/cell: 3.34
Crystal system: monoclinic
Energy relative to the elements in meV/atom: 369
Uncorrected energy in eV per cell: -8.5
Total magnetization in Bohr magnetons per cell: 2.72
Calculated density in g/cm3: 12.023

a = 3.1291 Å, b = 4.7046 Å, c = 5.3423 Å
α = 90.00°, β = 90.08°, γ = 90.00°
Space group Pm (No. 6)
Asymmetric unit:
Cd: 0.0000 0.0000 0.0000 x1
Fe: 0.9992 0.5000 0.3208 x1
Hg: 0.4988 0.5000 0.8232 x1
Hg: 0.5001 0.0000 0.4685 x1

LaCdPd3: optimized geometry, PBE.

Values from the calculation:
N(E_F) in states/eV/cell: 3.29
Crystal system: cubic
Energy relative to the elements in meV/atom: -17
Uncorrected energy in eV per cell: -21.5
Total magnetization in Bohr magnetons per cell: 0.00
Calculated density in g/cm3: 7.708

a = 4.9722 Å, b = 4.9722 Å, c = 4.9722 Å
α = 90.00°, β = 90.00°, γ = 90.00°
Space group Pm-3m (No. 221)
Asymmetric unit:
La: 0.0000 0.0000 0.0000 x1
Cd: 0.5000 0.5000 0.5000 x1
Pd: 0.0000 0.5000 0.5000 x3

AcPm2Rh: optimized geometry, PBE.

Values from the calculation:
N(E_F) in states/eV/cell: 14.58
Crystal system: trigonal
Energy relative to the elements in meV/atom: -338
Uncorrected energy in eV per cell: -66.9
Total magnetization in Bohr magnetons per cell: 0.00
Calculated density in g/cm3: 7.544

a = 4.0653 Å, b = 4.0653 Å, c = 28.5996 Å
α = 90.00°, β = 90.00°, γ = 120.00°
Space group R3m (No. 160, hexagonal axes)
Asymmetric unit:
Ac: 0.0000 0.0000 0.0000 x3
Pm: 0.0000 0.0000 0.2227 x3
Pm: 0.0000 0.0000 0.4468 x3
Rh: 0.0000 0.0000 0.8349 x3

Sm4W: optimized geometry, PBE.

Values from the calculation:
N(E_F) in states/eV/cell: 7.52
Crystal system: cubic
Energy relative to the elements in meV/atom: 544
Uncorrected energy in eV per cell: -29.1
Total magnetization in Bohr magnetons per cell: 0.00
Calculated density in g/cm3: 7.541

a = 5.5711 Å, b = 5.5711 Å, c = 5.5711 Å
α = 90.00°, β = 90.00°, γ = 90.00°
Space group Pm-3m (No. 221)
Asymmetric unit:
Sm: 0.0000 0.0000 0.0000 x1
Sm: 0.0000 0.5000 0.5000 x3
W: 0.5000 0.5000 0.5000 x1

NaLaMn2: optimized geometry, PBE.

Values from the calculation:
N(E_F) in states/eV/cell: 21.10
Crystal system: cubic
Energy relative to the elements in meV/atom: 646
Uncorrected energy in eV per cell: -88.0
Total magnetization in Bohr magnetons per cell: 29.09
Calculated density in g/cm3: 4.692

a = 7.2730 Å, b = 7.2730 Å, c = 7.2730 Å
α = 90.00°, β = 90.00°, γ = 90.00°
Space group Fm-3m (No. 225)
Asymmetric unit:
Na: 0.0000 0.0000 0.0000 x4
La: 0.0000 0.0000 0.5000 x4
Mn: 0.2500 0.2500 0.2500 x8

LaMnTl: optimized geometry, PBE.

Values from the calculation:
N(E_F) in states/eV/cell: 3.66
Crystal system: trigonal
Energy relative to the elements in meV/atom: 345
Uncorrected energy in eV per cell: -15.4
Total magnetization in Bohr magnetons per cell: 3.70
Calculated density in g/cm3: 8.188

a = 3.5620 Å, b = 3.5620 Å, c = 7.3496 Å
α = 90.00°, β = 90.00°, γ = 120.00°
Space group P3m1 (No. 156)
Asymmetric unit:
La: 0.0000 0.0000 0.0000 x1
Mn: 0.6667 0.3333 0.3285 x1
Tl: 0.3333 0.6667 0.6138 x1

TaReRu2: optimized geometry, PBE.

Values from the calculation:
N(E_F) in states/eV/cell: 4.00
Crystal system: tetragonal
Energy relative to the elements in meV/atom: -73
Uncorrected energy in eV per cell: -43.1
Total magnetization in Bohr magnetons per cell: 0.00
Calculated density in g/cm3: 15.481

a = 2.8215 Å, b = 2.8215 Å, c = 7.6707 Å
α = 90.00°, β = 90.00°, γ = 90.00°
Space group P4/mmm (No. 123)
Asymmetric unit:
Ta: 0.0000 0.0000 0.0000 x1
Re: 0.0000 0.0000 0.5000 x1
Ru: 0.5000 0.5000 0.2668 x2

Ac3Cd2AgPd9: optimized geometry, PBE.

Values from the calculation:
N(E_F) in states/eV/cell: 6.72
Crystal system: trigonal
Energy relative to the elements in meV/atom: -190
Uncorrected energy in eV per cell: -66.6
Total magnetization in Bohr magnetons per cell: 0.00
Calculated density in g/cm3: 8.937

a = 7.9883 Å, b = 7.9883 Å, c = 6.6285 Å
α = 90.00°, β = 90.00°, γ = 120.00°
Space group P-3m1 (No. 164)
Asymmetric unit:
Ac: 0.0000 0.0000 0.0000 x1
Ac: 0.3333 0.6667 0.6651 x2
Cd: 0.3333 0.6667 0.1666 x2
Ag: 0.0000 0.0000 0.5000 x1
Pd: 0.0000 0.5000 0.0000 x3
Pd: 0.1682 0.3364 0.3413 x6

Cr2NiPt2: optimized geometry, PBE.

Values from the calculation:
N(E_F) in states/eV/cell: 13.15
Crystal system: monoclinic
Energy relative to the elements in meV/atom: 19
Uncorrected energy in eV per cell: -74.0
Total magnetization in Bohr magnetons per cell: 10.89
Calculated density in g/cm3: 13.007

a = 7.0184 Å, b = 4.5345 Å, c = 4.7419 Å
α = 90.00°, β = 110.71°, γ = 90.00°
Space group C2/m (No. 12)
Asymmetric unit:
Cr: 0.1058 0.0000 0.3015 x4
Ni: 0.0000 0.5000 0.5000 x2
Pt: 0.2098 0.5000 0.1280 x4

CaSi2Tc: optimized geometry, PBE.

Values from the calculation:
N(E_F) in states/eV/cell: 3.26
Crystal system: orthorhombic
Raw formation energy in kcal/mol of atoms: -3.99
Uncorrected energy in eV per cell: -47.8
Total magnetization in Bohr magnetons per cell: 0.00
Calculated density in g/cm3: 4.589

a = 3.9683 Å, b = 3.2310 Å, c = 10.9646 Å
α = 90.00°, β = 90.00°, γ = 90.00°
Space group Amm2 (No. 38)
Asymmetric unit:
Ca: 0.0000 0.0000 0.0000 x2
Si: 0.0000 0.0000 0.7403 x2
Si: 0.5000 0.0000 0.6171 x2
Tc: 0.5000 0.0000 0.2874 x2